(1)
{
  "formula": "K3NpCu2S6",
  "functional": "GGA-PBE",
  "state": "relaxed",
  "cell": [[7.244, 0.000, 0.000], [-3.622, 6.273, 0.000], [0.000, 0.000, 8.198]],
  "species": ["K", "K", "K", "Np", "Cu", "Cu", "S", "S", "S", "S", "S", "S"],
  "frac_coords": [[0.333, 0.667, 0.679], [0.667, 0.333, 0.321], [0.000, 0.000, 0.000], [0.000, 0.000, 0.500], [0.667, 0.333, 0.707], [0.333, 0.667, 0.293], [0.679, 0.840, 0.307], [0.160, 0.321, 0.307], [0.160, 0.840, 0.307], [0.840, 0.679, 0.693], [0.321, 0.160, 0.693], [0.840, 0.160, 0.693]],
  "volume_a3_per_cell": 372.54,
  "magnetic_moment_mub_per_fu": 0.2,
  "space_group": "P-3m1",
  "e_form_raw_ev_per_atom": -0.84,
  "final_energy_ev_per_atom": -4.94
}

=====

(2)
{
  "formula": "K2Np2CuS6",
  "functional": "GGA-PBE",
  "state": "relaxed",
  "cell": [[7.038, -0.338, 0.094], [-3.772, 5.951, 0.094], [-1.122, -1.929, 7.445]],
  "species": ["K", "K", "Np", "Np", "Cu", "S", "S", "S", "S", "S", "S"],
  "frac_coords": [[0.850, 0.150, 0.000], [0.150, 0.850, 0.000], [0.338, 0.662, 0.500], [0.662, 0.338, 0.500], [0.000, 0.000, 0.500], [0.755, 0.755, 0.665], [0.051, 0.430, 0.701], [0.245, 0.245, 0.335], [0.430, 0.051, 0.701], [0.949, 0.570, 0.299], [0.570, 0.949, 0.299]],
  "volume_a3_per_cell": 304.93,
  "magnetic_moment_mub_per_fu": 5.0,
  "space_group": "C2/m",
  "e_form_raw_ev_per_atom": -1.10,
  "final_energy_ev_per_atom": -6.28
}

=====

(3)
{
  "formula": "K2NpCuS4",
  "functional": "GGA-PBE",
  "state": "relaxed",
  "cell": [[7.971, -0.259, 0.283], [-0.265, 7.970, 0.283], [-3.575, -3.577, 6.332]],
  "species": ["K", "K", "K", "K", "Np", "Np", "Cu", "Cu", "S", "S", "S", "S", "S", "S", "S", "S"],
  "frac_coords": [[0.500, 0.000, 0.000], [0.500, 0.000, 0.500], [0.000, 0.000, 0.500], [0.500, 0.500, 0.000], [0.000, 0.500, 0.000], [0.000, 0.500, 0.500], [0.500, 0.500, 0.500], [0.000, 0.000, 0.000], [0.189, 0.696, 0.904], [0.804, 0.311, 0.596], [0.196, 0.689, 0.404], [0.811, 0.304, 0.096], [0.828, 0.777, 0.018], [0.723, 0.672, 0.482], [0.277, 0.328, 0.518], [0.172, 0.223, 0.982]],
  "volume_a3_per_cell": 418.47,
  "magnetic_moment_mub_per_fu": 2.0,
  "space_group": "C2/c",
  "e_form_raw_ev_per_atom": -0.93,
  "final_energy_ev_per_atom": -5.40
}

=====

(4)
{
  "formula": "KNp2Cu2S4",
  "functional": "GGA-PBE",
  "state": "relaxed",
  "cell": [[-0.223, -3.641, 0.017], [3.227, 1.601, -5.996], [5.364, -0.297, 6.710]],
  "species": ["K", "Np", "Np", "Cu", "Cu", "S", "S", "S", "S"],
  "frac_coords": [[0.000, 0.000, 0.000], [0.875, 0.750, 0.460], [0.125, 0.250, 0.540], [0.290, 0.579, 0.109], [0.710, 0.421, 0.891], [0.782, 0.564, 0.686], [0.218, 0.436, 0.314], [0.474, 0.948, 0.299], [0.526, 0.052, 0.701]],
  "volume_a3_per_cell": 193.76,
  "magnetic_moment_mub_per_fu": 7.1,
  "space_group": "C2/m",
  "e_form_raw_ev_per_atom": -0.85,
  "final_energy_ev_per_atom": -6.59
}

=====

(5)
{
  "formula": "KNp2CuS5",
  "functional": "GGA-PBE",
  "state": "relaxed",
  "cell": [[-2.944, -4.636, -5.186], [6.695, -0.362, -3.478], [-0.181, -2.849, 8.151]],
  "species": ["K", "K", "Np", "Np", "Np", "Np", "Cu", "Cu", "S", "S", "S", "S", "S", "S", "S", "S", "S", "S"],
  "frac_coords": [[0.250, 0.250, 0.500], [0.750, 0.750, 0.500], [0.163, 0.337, 0.000], [0.663, 0.163, 0.000], [0.337, 0.837, 0.000], [0.837, 0.663, 0.000], [0.250, 0.750, 0.500], [0.750, 0.250, 0.500], [0.981, 0.481, 0.251], [0.729, 0.229, 0.749], [0.019, 0.519, 0.749], [0.229, 0.019, 0.749], [0.519, 0.729, 0.749], [0.771, 0.981, 0.251], [0.481, 0.271, 0.251], [0.271, 0.771, 0.251], [0.500, 0.500, 0.000], [0.000, 0.000, 0.000]],
  "volume_a3_per_cell": 387.21,
  "magnetic_moment_mub_per_fu": 6.0,
  "space_group": "I4/mcm",
  "e_form_raw_ev_per_atom": -1.14,
  "final_energy_ev_per_atom": -6.89
}

=====

(6)
{
  "formula": "K2NpCu2S6",
  "functional": "GGA-PBE",
  "state": "relaxed",
  "cell": [[7.204, 0.000, 0.000], [3.602, 6.239, 0.000], [3.602, 2.080, 6.376]],
  "species": ["K", "K", "Np", "Cu", "Cu", "S", "S", "S", "S", "S", "S"],
  "frac_coords": [[0.771, 0.771, 0.686], [0.229, 0.229, 0.314], [0.000, 0.000, 0.000], [0.416, 0.416, 0.751], [0.584, 0.584, 0.249], [0.760, 0.760, 0.242], [0.238, 0.760, 0.242], [0.760, 0.238, 0.242], [0.240, 0.762, 0.758], [0.762, 0.240, 0.758], [0.240, 0.240, 0.758]],
  "volume_a3_per_cell": 286.55,
  "magnetic_moment_mub_per_fu": 0.1,
  "space_group": "R-3m",
  "e_form_raw_ev_per_atom": -0.70,
  "final_energy_ev_per_atom": -5.07
}

=====

(7)
{
  "formula": "K3Np3CuSe8",
  "functional": "GGA-PBE",
  "state": "relaxed",
  "cell": [[-5.514, 3.717, -4.842], [5.710, -4.912, -3.286], [-6.766, -4.066, 4.584]],
  "species": ["K", "K", "K", "Np", "Np", "Np", "Cu", "Se", "Se", "Se", "Se", "Se", "Se", "Se", "Se"],
  "frac_coords": [[0.000, 0.000, 0.000], [0.000, 0.500, 0.000], [0.500, 0.500, 0.000], [0.500, 0.000, 0.500], [0.500, 0.500, 0.500], [0.000, 0.500, 0.500], [0.000, 0.000, 0.500], [0.264, 0.528, 0.293], [0.736, 0.472, 0.707], [0.771, 0.543, 0.308], [0.229, 0.457, 0.692], [0.770, 0.037, 0.307], [0.230, 0.963, 0.693], [0.267, 0.037, 0.307], [0.733, 0.963, 0.693]],
  "volume_a3_per_cell": 456.57,
  "magnetic_moment_mub_per_fu": 9.0,
  "space_group": "C2/m",
  "e_form_raw_ev_per_atom": -1.03,
  "final_energy_ev_per_atom": -5.97
}

=====

(8)
{
  "formula": "KNpCu2Se4",
  "functional": "GGA-PBE",
  "state": "relaxed",
  "cell": [[6.671, 0.000, 0.000], [3.336, 5.567, -0.011], [3.336, 0.445, 5.549]],
  "species": ["K", "Np", "Cu", "Cu", "Se", "Se", "Se", "Se"],
  "frac_coords": [[0.000, 0.000, 0.000], [0.500, 0.500, 0.500], [0.156, 0.344, 0.344], [0.844, 0.656, 0.656], [0.453, 0.102, 0.510], [0.064, 0.898, 0.490], [0.936, 0.510, 0.102], [0.547, 0.490, 0.898]],
  "volume_a3_per_cell": 206.10,
  "magnetic_moment_mub_per_fu": 2.3,
  "space_group": "I222",
  "e_form_raw_ev_per_atom": -0.51,
  "final_energy_ev_per_atom": -5.03
}

=====

Number 2 is which compound?
K2Np2CuS6